# 1
This record from Alexandria describes a geometry-optimized KTiIr3 structure. The functional is PBEsol.

a b c (Å): 4.6511 4.6511 4.6511
angles (deg): 90.00 90.00 90.00
Closest atoms and distances in Å follow each position.
Fractional positions:
K (0.0000, 0.0000, 0.0000)  12 Ir 3.29
Ti (0.5000, 0.5000, 0.5000)  6 Ir 2.33
Ir (0.0000, 0.5000, 0.5000)  2 Ti 2.33
Ir (0.5000, 0.0000, 0.5000)  2 Ti 2.33
Ir (0.5000, 0.5000, 0.0000)  2 Ti 2.33

SG = No. 221
total DFT energy (no corrections) = -6.66 eV per atom

# 2
This record from Alexandria describes a geometry-optimized KTa2Hg structure. The functional is PBEsol.

a b c (Å): 11.5729 11.5729 11.5729
angles (deg): 14.59 14.59 14.59
Closest atoms and distances in Å follow each position.
Fractional positions:
K (0.0000, 0.0000, 0.0000)  6 K 2.94
Ta (0.2389, 0.2389, 0.2389)  6 Ta 2.94, 3 Hg 3.00
Ta (0.7611, 0.7611, 0.7611)  6 Ta 2.94, 3 Hg 3.00
Hg (0.5000, 0.5000, 0.5000)  6 Hg 2.94, 6 Ta 3.00

SG = No. 166
total DFT energy (no corrections) = -5.87 eV per atom

# 3
This record from Alexandria describes a geometry-optimized Li3AgF structure. The functional is PBEsol.

a b c (Å): 4.0358 4.0358 4.0358
angles (deg): 90.00 90.00 90.00
Closest atoms and distances in Å follow each position.
Fractional positions:
Li (0.0000, 0.0000, 0.5000)  2 F 2.02
Li (0.0000, 0.5000, 0.0000)  2 F 2.02
Li (0.5000, 0.0000, 0.0000)  2 F 2.02
Ag (0.5000, 0.5000, 0.5000)  12 Li 2.85
F (0.0000, 0.0000, 0.0000)  6 Li 2.02

excess energy over the best structure of this formula in the dataset = 0 kJ/mol of formula units
uncorrected formation energy = -1.131 eV per atom
SG = No. 221

# 4
This record from Alexandria describes a geometry-optimized La4Sc structure. The functional is PBEsol.

a b c (Å): 6.1424 6.1424 6.1424
angles (deg): 99.45 99.45 132.18
Closest atoms and distances in Å follow each position.
Fractional positions:
La (0.1025, 0.2942, 0.3967)  9 La 3.49-3.65, 3 Sc 3.51-3.55
La (0.2942, 0.8975, 0.1917)  9 La 3.49-3.65, 3 Sc 3.51-3.55
La (0.7058, 0.1025, 0.8083)  9 La 3.49-3.65, 3 Sc 3.51-3.55
La (0.8975, 0.7058, 0.6033)  9 La 3.49-3.65, 3 Sc 3.51-3.55
Sc (0.5000, 0.5000, 0.0000)  12 La 3.51-3.55

SG = No. 87
total DFT energy (no corrections) = -5.57 eV per atom

# 5
This record from Alexandria describes a geometry-optimized InCu2Te structure. The functional is PBEsol.

a b c (Å): 3.7749 3.7749 5.4200
angles (deg): 90.00 90.00 90.00
Closest atoms and distances in Å follow each position.
Fractional positions:
In (0.0000, 0.0000, 0.0000)  6 Cu 2.67-2.71
Cu (0.0000, 0.0000, 0.5000)  4 Te 2.67, 2 In 2.71
Cu (0.5000, 0.5000, 0.0000)  4 In 2.67, 2 Te 2.71
Te (0.5000, 0.5000, 0.5000)  6 Cu 2.67-2.71

excess energy over the best structure of this formula in the dataset = 29 kJ/mol of formula units
uncorrected formation energy = 0.146 eV per atom
SG = No. 123

# 6
This record from Alexandria describes a geometry-optimized Zr3SbO structure. The functional is PBEsol.

a b c (Å): 4.4454 4.4454 4.4454
angles (deg): 90.00 90.00 90.00
Closest atoms and distances in Å follow each position.
Fractional positions:
Zr (0.0000, 0.0000, 0.5000)  2 O 2.22
Zr (0.0000, 0.5000, 0.0000)  2 O 2.22
Zr (0.5000, 0.0000, 0.0000)  2 O 2.22
Sb (0.5000, 0.5000, 0.5000)  12 Zr 3.14
O (0.0000, 0.0000, 0.0000)  6 Zr 2.22

uncorrected formation energy = -1.300 eV per atom
SG = No. 221

# 7
This record from Alexandria describes a geometry-optimized BeP3 structure. The functional is PBEsol.

a b c (Å): 4.2122 4.2122 4.2122
angles (deg): 122.95 122.95 84.96
Closest atoms and distances in Å follow each position.
Fractional positions:
Be (0.0000, 0.0000, 0.0000)  12 P 2.54-2.84
P (0.2500, 0.7500, 0.5000)  8 P 2.54-2.84, 4 Be 2.54
P (0.5000, 0.5000, 0.0000)  8 P 2.54, 4 Be 2.84
P (0.7500, 0.2500, 0.5000)  8 P 2.54-2.84, 4 Be 2.54

excess energy over the best structure of this formula in the dataset = 172 kJ/mol of formula units
SG = No. 139

# 8
This record from Alexandria describes a geometry-optimized ZrMoCl structure. The functional is PBEsol.

a b c (Å): 4.3973 4.3973 4.3973
angles (deg): 60.00 60.00 60.00
Closest atoms and distances in Å follow each position.
Fractional positions:
Zr (0.0000, 0.0000, 0.0000)  4 Cl 2.69, 4 Mo 2.69
Mo (0.7500, 0.7500, 0.7500)  4 Zr 2.69
Cl (0.2500, 0.2500, 0.2500)  4 Zr 2.69

excess energy over the best structure of this formula in the dataset = 275 kJ/mol of formula units
uncorrected formation energy = 1.076 eV per atom
SG = No. 216

# 9
This record from Alexandria describes a geometry-optimized Li3FeCu4O8 structure. The functional is PBEsol.

a b c (Å): 5.9423 5.9423 5.4772
angles (deg): 114.06 114.06 56.67
Closest atoms and distances in Å follow each position.
Fractional positions:
Li (0.0000, 0.0000, 0.0000)  4 O 2.07
Li (0.0000, 0.5000, 0.5000)  6 O 2.06-2.13
Li (0.5000, 0.0000, 0.5000)  6 O 2.06-2.13
Fe (0.5000, 0.5000, 0.5000)  6 O 1.87-1.90
Cu (0.0000, 0.0000, 0.5000)  6 O 1.93-2.07
Cu (0.0000, 0.5000, 0.0000)  4 O 1.90-1.93
Cu (0.5000, 0.0000, 0.0000)  4 O 1.90-1.93
Cu (0.5000, 0.5000, 0.0000)  4 O 1.91
O (0.2048, 0.2048, 0.7405)  3 Cu 1.90-1.93, 2 Li 2.13
O (0.2424, 0.7004, 0.7236)  1 Fe 1.90, 2 Cu 1.91-2.07, 2 Li 2.06-2.07
O (0.2996, 0.7576, 0.2764)  1 Fe 1.90, 2 Cu 1.91-2.07, 2 Li 2.06-2.07
O (0.3013, 0.3013, 0.2711)  1 Fe 1.87, 2 Cu 1.93
O (0.6987, 0.6987, 0.7289)  1 Fe 1.87, 2 Cu 1.93
O (0.7004, 0.2424, 0.7236)  1 Fe 1.90, 2 Cu 1.91-2.07, 2 Li 2.06-2.07
O (0.7576, 0.2996, 0.2764)  1 Fe 1.90, 2 Cu 1.91-2.07, 2 Li 2.06-2.07
O (0.7952, 0.7952, 0.2595)  3 Cu 1.90-1.93, 2 Li 2.13

uncorrected formation energy = -1.121 eV per atom
SG = No. 12

# 10
This record from Alexandria describes a geometry-optimized HoPtF7 structure. The functional is PBEsol.

a b c (Å): 8.7223 5.4139 11.7651
angles (deg): 90.00 117.69 90.00
Closest atoms and distances in Å follow each position.
Fractional positions:
Ho (0.1861, 0.2394, 0.2645)  8 F 2.14-2.34
Ho (0.1861, 0.2606, 0.7645)  8 F 2.14-2.34
Ho (0.8139, 0.7394, 0.2355)  8 F 2.14-2.34
Ho (0.8139, 0.7606, 0.7355)  8 F 2.14-2.34
Pt (0.2718, 0.7428, 0.0426)  6 F 1.94-1.95
Pt (0.2718, 0.7572, 0.5426)  6 F 1.94-1.95
Pt (0.7282, 0.2428, 0.4574)  6 F 1.94-1.95
Pt (0.7282, 0.2572, 0.9574)  6 F 1.94-1.95
F (0.0213, 0.7459, 0.9488)  1 Pt 1.94
F (0.0213, 0.7541, 0.4488)  1 Pt 1.94
F (0.0328, 0.5905, 0.7321)  2 Ho 2.14-2.16
F (0.0328, 0.9095, 0.2321)  2 Ho 2.14-2.16
F (0.2539, 0.5547, 0.1764)  1 Pt 1.94
F (0.2539, 0.9453, 0.6764)  1 Pt 1.94
F (0.2751, 0.0408, 0.1353)  1 Pt 1.94
F (0.2751, 0.4592, 0.6353)  1 Pt 1.94
F (0.2775, 0.0630, 0.4577)  1 Pt 1.95
F (0.2775, 0.4370, 0.9577)  1 Pt 1.95
F (0.2961, 0.5623, 0.4133)  1 Pt 1.94
F (0.2961, 0.9377, 0.9133)  1 Pt 1.94
F (0.4779, 0.2274, 0.3583)  1 Pt 1.94
F (0.4779, 0.2726, 0.8583)  1 Pt 1.94
F (0.5221, 0.7274, 0.1417)  1 Pt 1.94
F (0.5221, 0.7726, 0.6417)  1 Pt 1.94
F (0.7039, 0.0623, 0.0867)  1 Pt 1.94
F (0.7039, 0.4377, 0.5867)  1 Pt 1.94
F (0.7225, 0.5630, 0.0423)  1 Pt 1.95
F (0.7225, 0.9370, 0.5423)  1 Pt 1.95
F (0.7249, 0.5408, 0.3647)  1 Pt 1.94
F (0.7249, 0.9592, 0.8647)  1 Pt 1.94
F (0.7461, 0.0547, 0.3236)  1 Pt 1.94
F (0.7461, 0.4453, 0.8236)  1 Pt 1.94
F (0.9672, 0.0905, 0.7679)  2 Ho 2.14-2.16
F (0.9672, 0.4095, 0.2679)  2 Ho 2.14-2.16
F (0.9787, 0.2459, 0.5512)  1 Pt 1.94
F (0.9787, 0.2541, 0.0512)  1 Pt 1.94

uncorrected formation energy = -2.607 eV per atom
SG = No. 14

# 11
This record from Alexandria describes a geometry-optimized Cu2PtPb structure. The functional is PBEsol.

a b c (Å): 8.2705 8.2705 8.2705
angles (deg): 21.43 21.43 21.43
Closest atoms and distances in Å follow each position.
Fractional positions:
Cu (0.2431, 0.2431, 0.2431)  3 Pt 2.57, 3 Pb 2.82
Cu (0.7569, 0.7569, 0.7569)  3 Pt 2.57, 3 Pb 2.82
Pt (0.5000, 0.5000, 0.5000)  6 Cu 2.57
Pb (0.0000, 0.0000, 0.0000)  6 Cu 2.82, 6 Pb 3.07

SG = No. 166
total DFT energy (no corrections) = -4.58 eV per atom

# 12
This record from Alexandria describes a geometry-optimized TeWSe structure. The functional is PBEsol.

a b c (Å): 3.3766 3.3766 13.5705
angles (deg): 90.00 90.00 120.00
Closest atoms and distances in Å follow each position.
Fractional positions:
Te (0.0000, 0.0000, 0.0000)  3 W 2.70
Te (0.0000, 0.0000, 0.2750)  3 W 2.70
W (0.0000, 0.0000, 0.6371)  6 Se 2.55
W (0.6667, 0.3333, 0.1375)  6 Te 2.70
Se (0.6667, 0.3333, 0.5163)  3 W 2.55
Se (0.6667, 0.3333, 0.7579)  3 W 2.55

excess energy over the best structure of this formula in the dataset = 0 kJ/mol of formula units
uncorrected formation energy = -0.307 eV per atom
SG = No. 156

# 13
This record from Alexandria describes a geometry-optimized CaPtW structure. The functional is PBEsol.

a b c (Å): 4.7223 4.7223 2.8075
angles (deg): 90.00 90.00 120.00
Closest atoms and distances in Å follow each position.
Fractional positions:
Ca (0.0000, 0.0000, 0.0000)  2 Ca 2.81, 6 W 3.07, 6 Pt 3.07
Pt (0.6667, 0.3333, 0.5000)  3 W 2.73, 2 Pt 2.81
W (0.3333, 0.6667, 0.5000)  3 Pt 2.73, 2 W 2.81

SG = No. 187
total DFT energy (no corrections) = -7.25 eV per atom